Here is crystalline CoH3Se at its relaxed geometry from Alexandria via LeMat-Bulk. Energies are from PBE.

Calculated values
Crystal system   cubic
SG   Pm-3m
Magnetic moment   2.056 μB per formula unit
Total DFT energy (no corrections)   -2.994 eV per atom

Lattice parameters (Å, degrees): 3.6271 3.6271 3.6271 90.00 90.00 90.00
Last column: nearest neighbours and their distance in Å.
Element x y z (fractional)
H: 0.0000 0.5000 0.0000  2 Se 1.81
H: 0.0000 0.0000 0.5000  2 Se 1.81
H: 0.5000 0.0000 0.0000  2 Se 1.81
Co: 0.5000 0.5000 0.5000  12 H 2.56
Se: 0.0000 0.0000 0.0000  6 H 1.81